Model 1:
Here is Cs3TeI6 after structural relaxation from Alexandria. Energies are from PBE.

For the total magnetic moment, the calculation gives 2.0 μB per cell.

The structure belongs to space group I4/mmm (No. 139); the cell edges are 9.562, 9.562 and 13.077 Å and the angles 90.00°, 90.00° and 90.00°. The asymmetric unit holds Cs at (0.000, 0.000, 0.000), Cs at (0.000, 0.500, 0.250), Te at (0.000, 0.000, 0.500), I at (0.000, 0.000, 0.276) and I at (0.234, 0.234, 0.500).

Model 2:
Here is Cs3TeI6 after structural relaxation from Alexandria. Energies are from PBE.

For the total magnetic moment, the calculation gives 6.4 μB per cell.

The structure belongs to space group R-3 (No. 148, hexagonal axes); the cell edges are 14.8041, 14.8041 and 18.9753 Å and the angles 90.00°, 90.00° and 120.00°. The asymmetric unit holds Cs at (0.0204, 0.6328, 0.2582), Te at (0.0000, 0.0000, 0.0000), Te at (0.0000, 0.0000, 0.5000), I at (0.0226, 0.8215, 0.4057) and I at (0.0370, 0.1794, 0.9093).

The data favor model 2; the next most stable structure lies 0.066 eV/atom above it.

Model 1:
Here is Cs2TeI4 after structural relaxation from Alexandria. Energies are from PBE.

For the total magnetic moment, the calculation gives 0.0 μB per cell.

The structure belongs to space group I4/mmm (No. 139); the cell edges are 8.712, 8.712 and 10.388 Å and the angles 90.00°, 90.00° and 90.00°. The asymmetric unit holds Cs at (0.000, 0.500, 0.250), Te at (0.000, 0.000, 0.000) and I at (0.244, 0.244, 0.000).

Model 2:
Here is Cs2TeI4 after structural relaxation from Alexandria. Energies are from PBE.

For the total magnetic moment, the calculation gives 0.0 μB per cell.

The structure belongs to space group I4/mmm (No. 139); the cell edges are 6.475, 6.475 and 18.543 Å and the angles 90.00°, 90.00° and 90.00°. The asymmetric unit holds Cs at (0.000, 0.000, 0.129), Te at (0.000, 0.000, 0.500), I at (0.000, 0.000, 0.339) and I at (0.000, 0.500, 0.000).

The data favor model 1; the next most stable structure lies 0.063 eV/atom above it.

Model 1:
Here is CsTe2I after structural relaxation from Alexandria. Energies are from PBE.

For the total magnetic moment, the calculation gives 0.0 μB per cell.

The structure belongs to space group R-3m (No. 166, hexagonal axes); the cell edges are 5.7654, 5.7654 and 20.1933 Å and the angles 90.00°, 90.00° and 120.00°. The asymmetric unit holds Cs at (0.0000, 0.0000, 0.0000), Te at (0.0000, 0.0000, 0.1814) and I at (0.0000, 0.0000, 0.5000).

Model 2:
Here is CsTe2I after structural relaxation from Alexandria. Energies are from PBE.

For the total magnetic moment, the calculation gives 0.0 μB per cell.

The structure belongs to space group I-42d (No. 122); the cell edges are 7.483, 7.483 and 17.538 Å and the angles 90.00°, 90.00° and 90.00°. The asymmetric unit holds Cs at (0.000, 0.000, 0.000), Te at (0.113, 0.250, 0.625) and I at (0.000, 0.000, 0.500).

The data favor model 1; the next most stable structure lies 0.182 eV/atom above it.

Model 1:
Here is CsTlTeI2 after structural relaxation from Alexandria. Energies are from PBE.

For the total magnetic moment, the calculation gives 0.7 μB per cell.

The structure belongs to space group P4/mmm (No. 123); the cell edges are 6.432, 6.432 and 5.831 Å and the angles 90.00°, 90.00° and 90.00°. The asymmetric unit holds Cs at (0.000, 0.000, 0.000), Tl at (0.500, 0.500, 0.500), Te at (0.500, 0.500, 0.000) and I at (0.000, 0.500, 0.500).

Model 2:
Here is CsTlTeI2 after structural relaxation from Alexandria. Energies are from PBE.

For the total magnetic moment, the calculation gives 2.1 μB per cell.

The structure belongs to space group P4/mmm (No. 123); the cell edges are 7.191, 7.191 and 6.922 Å and the angles 90.00°, 90.00° and 90.00°. The asymmetric unit holds Cs at (0.000, 0.000, 0.000), Tl at (0.500, 0.500, 0.500), Te at (0.000, 0.000, 0.500) and I at (0.000, 0.500, 0.000).

The data favor model 1; the next most stable structure lies 0.503 eV/atom above it.

Model 1:
Here is CsTe2WI after structural relaxation from Alexandria. Energies are from PBE.

For the total magnetic moment, the calculation gives 2.6 μB per cell.

The structure belongs to space group P4/mmm (No. 123); the cell edges are 6.463, 6.463 and 6.755 Å and the angles 90.00°, 90.00° and 90.00°. The asymmetric unit holds Cs at (0.000, 0.000, 0.000), Te at (0.000, 0.500, 0.000), W at (0.500, 0.500, 0.500) and I at (0.000, 0.000, 0.500).

Model 2:
Here is CsTe2WI after structural relaxation from Alexandria. Energies are from PBE.

For the total magnetic moment, the calculation gives 0.6 μB per cell.

The structure belongs to space group P4/mmm (No. 123); the cell edges are 5.354, 5.354 and 6.151 Å and the angles 90.00°, 90.00° and 90.00°. The asymmetric unit holds Cs at (0.000, 0.000, 0.000), Te at (0.000, 0.500, 0.500), W at (0.500, 0.500, 0.500) and I at (0.500, 0.500, 0.000).

The data favor model 2; the next most stable structure lies 1.983 eV/atom above it.

Model 1:
Here is CsZnTe2I after structural relaxation from Alexandria. Energies are from PBE.

For the total magnetic moment, the calculation gives 4.1 μB per cell.

The structure belongs to space group P4/mmm (No. 123); the cell edges are 7.661, 7.661 and 7.267 Å and the angles 90.00°, 90.00° and 90.00°. The asymmetric unit holds Cs at (0.000, 0.000, 0.000), Zn at (0.500, 0.500, 0.500), Te at (0.000, 0.500, 0.000) and I at (0.000, 0.000, 0.500).

Model 2:
Here is CsZnTe2I after structural relaxation from Alexandria. Energies are from PBE.

For the total magnetic moment, the calculation gives 0.0 μB per cell.

The structure belongs to space group P4/mmm (No. 123); the cell edges are 5.371, 5.371 and 6.674 Å and the angles 90.00°, 90.00° and 90.00°. The asymmetric unit holds Cs at (0.000, 0.000, 0.000), Zn at (0.500, 0.500, 0.500), Te at (0.000, 0.500, 0.500) and I at (0.500, 0.500, 0.000).

The data favor model 2; the next most stable structure lies 0.971 eV/atom above it.

Model 1:
Here is CsZnTeI2 after structural relaxation from Alexandria. Energies are from PBE.

For the total magnetic moment, the calculation gives 3.1 μB per cell.

The structure belongs to space group P4/mmm (No. 123); the cell edges are 7.427, 7.427 and 7.843 Å and the angles 90.00°, 90.00° and 90.00°. The asymmetric unit holds Cs at (0.000, 0.000, 0.000), Zn at (0.500, 0.500, 0.500), Te at (0.000, 0.000, 0.500) and I at (0.000, 0.500, 0.000).

Model 2:
Here is CsZnTeI2 after structural relaxation from Alexandria. Energies are from PBE.

For the total magnetic moment, the calculation gives 0.9 μB per cell.

The structure belongs to space group P4/mmm (No. 123); the cell edges are 6.066, 6.066 and 5.350 Å and the angles 90.00°, 90.00° and 90.00°. The asymmetric unit holds Cs at (0.000, 0.000, 0.000), Zn at (0.500, 0.500, 0.500), Te at (0.500, 0.500, 0.000) and I at (0.000, 0.500, 0.500).

The data favor model 2; the next most stable structure lies 0.870 eV/atom above it.